Run 1
# KSmS2O8 | Alexandria via LeMat-Bulk | PBE | relaxed
data_KSmS2O8
_chemical_formula_sum 'K1 Sm1 S2 O8'
_cell_length_a 5.423
_cell_length_b 5.423
_cell_length_c 8.165
_cell_angle_alpha 90.00
_cell_angle_beta 90.00
_cell_angle_gamma 120.00
_symmetry_space_group_name_H-M 'P 1'
_symmetry_Int_Tables_number 1
_symmetry_space_group_name_Hall 'P 1'
loop_
_atom_site_label
_atom_site_type_symbol
_atom_site_fract_x
_atom_site_fract_y
_atom_site_fract_z
K1 K 0.000 0.000 0.000
Sm1 Sm 0.000 0.000 0.500
S1 S 0.333 0.667 0.744
S2 S 0.667 0.333 0.256
O1 O 0.131 0.376 0.678
O2 O 0.245 0.869 0.678
O3 O 0.333 0.667 0.922
O4 O 0.376 0.245 0.322
O5 O 0.624 0.755 0.678
O6 O 0.667 0.333 0.078
O7 O 0.755 0.131 0.322
O8 O 0.869 0.624 0.322
# Space-group type ... P-3

Run 2
# KSmS2O8 | Alexandria via LeMat-Bulk | PBE | relaxed
data_KSmS2O8
_chemical_formula_sum 'K4 Sm4 S8 O32'
_cell_length_a 8.755
_cell_length_b 7.221
_cell_length_c 10.690
_cell_angle_alpha 90.00
_cell_angle_beta 92.34
_cell_angle_gamma 90.00
_symmetry_space_group_name_H-M 'P 1'
_symmetry_Int_Tables_number 1
_symmetry_space_group_name_Hall 'P 1'
loop_
_atom_site_label
_atom_site_type_symbol
_atom_site_fract_x
_atom_site_fract_y
_atom_site_fract_z
K1 K 0.063 0.151 0.345
K2 K 0.063 0.349 0.845
K3 K 0.937 0.651 0.155
K4 K 0.937 0.849 0.655
Sm1 Sm 0.444 0.668 0.651
Sm2 Sm 0.444 0.832 0.151
Sm3 Sm 0.556 0.168 0.849
Sm4 Sm 0.556 0.332 0.349
S1 S 0.229 0.658 0.410
S2 S 0.229 0.842 0.910
S3 S 0.320 0.166 0.610
S4 S 0.320 0.334 0.110
S5 S 0.680 0.666 0.890
S6 S 0.680 0.834 0.390
S7 S 0.771 0.158 0.090
S8 S 0.771 0.342 0.590
O1 O 0.107 0.535 0.368
O2 O 0.107 0.965 0.868
O3 O 0.155 0.144 0.606
O4 O 0.155 0.356 0.106
O5 O 0.202 0.749 0.533
O6 O 0.202 0.751 0.033
O7 O 0.259 0.697 0.814
O8 O 0.259 0.803 0.314
O9 O 0.367 0.167 0.190
O10 O 0.367 0.333 0.690
O11 O 0.377 0.553 0.440
O12 O 0.377 0.947 0.940
O13 O 0.379 0.178 0.482
O14 O 0.379 0.322 0.982
O15 O 0.404 0.010 0.679
O16 O 0.404 0.490 0.179
O17 O 0.596 0.510 0.821
O18 O 0.596 0.990 0.321
O19 O 0.621 0.678 0.018
O20 O 0.621 0.822 0.518
O21 O 0.623 0.053 0.060
O22 O 0.623 0.447 0.560
O23 O 0.633 0.667 0.310
O24 O 0.633 0.833 0.810
O25 O 0.741 0.197 0.686
O26 O 0.741 0.303 0.186
O27 O 0.798 0.249 0.967
O28 O 0.798 0.251 0.467
O29 O 0.845 0.644 0.894
O30 O 0.845 0.856 0.394
O31 O 0.893 0.035 0.132
O32 O 0.893 0.465 0.632
# Space-group type ... P2_1/c

Name the most stable of them. run 2.

Run 1
# K2SbO4 | Alexandria via LeMat-Bulk | PBE | relaxed
data_K2SbO4
_chemical_formula_sum 'K2 Sb1 O4'
_cell_length_a 6.186
_cell_length_b 6.186
_cell_length_c 6.919
_cell_angle_alpha 117.60
_cell_angle_beta 117.60
_cell_angle_gamma 29.45
_symmetry_space_group_name_H-M 'P 1'
_symmetry_Int_Tables_number 1
_symmetry_space_group_name_Hall 'P 1'
loop_
_atom_site_label
_atom_site_type_symbol
_atom_site_fract_x
_atom_site_fract_y
_atom_site_fract_z
K1 K 0.158 0.158 0.176
K2 K 0.842 0.842 0.824
Sb1 Sb 0.500 0.500 0.500
O1 O 0.127 0.127 0.565
O2 O 0.463 0.463 0.190
O3 O 0.537 0.537 0.810
O4 O 0.873 0.873 0.435
# Space-group type ... C2/m

Run 2
# K2SbO4 | Alexandria via LeMat-Bulk | PBE | relaxed
data_K2SbO4
_chemical_formula_sum 'K2 Sb1 O4'
_cell_length_a 7.401
_cell_length_b 7.401
_cell_length_c 7.401
_cell_angle_alpha 147.88
_cell_angle_beta 147.88
_cell_angle_gamma 46.07
_symmetry_space_group_name_H-M 'P 1'
_symmetry_Int_Tables_number 1
_symmetry_space_group_name_Hall 'P 1'
loop_
_atom_site_label
_atom_site_type_symbol
_atom_site_fract_x
_atom_site_fract_y
_atom_site_fract_z
K1 K 0.155 0.155 0.000
K2 K 0.845 0.845 0.000
Sb1 Sb 0.500 0.500 0.000
O1 O 0.000 0.500 0.500
O2 O 0.358 0.358 0.000
O3 O 0.500 0.000 0.500
O4 O 0.642 0.642 0.000
# Space-group type ... I4/mmm

Name the most stable of them. run 2.